(1)
Compound: Cs2HfMgBr6
Source: Alexandria via LeMat-Bulk
Functional: PBE
Structure: optimized geometry

Formation energy without anion corrections, eV per atom: -1.319

abc: 8.487 8.487 8.491
angles: 60.02 60.02 90.00
Atoms (fractional coordinates):
Cs: 0.750 0.250 0.500
Cs: 0.250 0.750 0.500
Mg: 0.500 0.500 0.000
Hf: 0.000 0.000 0.000
Br: 0.220 0.220 0.560
Br: 0.780 0.780 0.440
Br: 0.220 0.220 0.000
Br: 0.780 0.780 0.000
Br: 0.780 0.220 0.000
Br: 0.220 0.780 0.000


(2)
Compound: YTl3W
Source: Alexandria via LeMat-Bulk
Functional: PBE
Structure: optimized geometry

Relative energy among the computed polymorphs, meV/atom: 0

abc: 5.334 5.334 5.334
angles: 90.00 90.00 90.00
Atoms (fractional coordinates):
Y: 0.500 0.500 0.500
Tl: 0.000 0.500 0.000
Tl: 0.000 0.000 0.500
Tl: 0.500 0.000 0.000
W: 0.000 0.000 0.000


(3)
Compound: SiPHS
Source: Alexandria via LeMat-Bulk
Functional: PBE
Structure: optimized geometry

Relative energy among the computed polymorphs, meV/atom: 409

abc: 4.698 3.189 9.576
angles: 90.00 119.04 90.00
Atoms (fractional coordinates):
Si: 0.482 0.000 0.389
Si: 0.482 0.500 0.889
P: 0.042 0.000 0.446
P: 0.042 0.500 0.946
H: 0.578 0.000 0.983
H: 0.578 0.500 0.483
S: 0.351 0.000 0.691
S: 0.351 0.500 0.191


(4)
Compound: YHoAlTc
Source: Alexandria via LeMat-Bulk
Functional: PBE
Structure: optimized geometry

abc: 4.969 4.969 4.969
angles: 60.00 60.00 60.00
Atoms (fractional coordinates):
Y: 0.750 0.750 0.750
Al: 0.500 0.500 0.500
Ho: 0.250 0.250 0.250
Tc: 0.000 0.000 0.000


(5)
Compound: Nd2DyHo2Sc
Source: Alexandria via LeMat-Bulk
Functional: PBE
Structure: optimized geometry

abc: 5.641 6.237 10.809
angles: 90.00 90.00 90.00
Atoms (fractional coordinates):
Nd: 0.500 0.174 0.081
Nd: 0.000 0.342 0.258
Nd: 0.500 0.674 0.919
Nd: 0.000 0.842 0.742
Dy: 0.500 0.182 0.743
Dy: 0.500 0.682 0.257
Ho: 0.000 0.341 0.911
Ho: 0.500 0.166 0.423
Ho: 0.000 0.841 0.089
Ho: 0.500 0.666 0.577
Sc: 0.000 0.840 0.420
Sc: 0.000 0.340 0.580


(6)
Compound: Th4C3N
Source: Alexandria via LeMat-Bulk
Functional: PBE
Structure: optimized geometry

Formation energy without anion corrections, eV per atom: -0.612

abc: 5.312 5.312 5.312
angles: 90.00 90.00 90.00
Atoms (fractional coordinates):
Th: 0.500 0.000 0.000
Th: 0.000 0.500 0.000
Th: 0.000 0.000 0.500
Th: 0.500 0.500 0.500
C: 0.000 0.500 0.500
C: 0.500 0.000 0.500
C: 0.500 0.500 0.000
N: 0.000 0.000 0.000


(7)
Compound: AcCuAgF6
Source: Alexandria via LeMat-Bulk
Functional: PBE
Structure: optimized geometry

Formation energy without anion corrections, eV per atom: -2.505

abc: 5.210 5.793 5.793
angles: 120.00 90.00 90.00
Last column: magnetic moment on the atom in μB.
Atoms (fractional coordinates):
Ac: 0.000 0.333 0.667  0.01
Cu: 0.500 0.000 0.000  0.74
Ag: 0.500 0.667 0.333  0.09
F: 0.728 0.699 0.718  0.04
F: 0.728 0.282 0.981  0.04
F: 0.728 0.019 0.301  0.04
F: 0.272 0.282 0.301  0.04
F: 0.272 0.699 0.981  0.04
F: 0.272 0.019 0.718  0.04


(8)
Compound: NaSnSbSe3
Source: Alexandria via LeMat-Bulk
Functional: PBE
Structure: optimized geometry

Formation energy without anion corrections, eV per atom: -0.512

abc: 4.144 8.529 10.059
angles: 96.56 90.00 90.00
Atoms (fractional coordinates):
Na: 0.250 0.136 0.145
Na: 0.750 0.864 0.855
Sn: 0.250 0.147 0.553
Sn: 0.750 0.853 0.447
Sb: 0.250 0.626 0.153
Sb: 0.750 0.374 0.847
Se: 0.750 0.884 0.175
Se: 0.250 0.116 0.825
Se: 0.250 0.639 0.433
Se: 0.750 0.361 0.567
Se: 0.750 0.396 0.143
Se: 0.250 0.604 0.857


(9)
Compound: LaNi8B2
Source: Alexandria via LeMat-Bulk
Functional: PBE
Structure: optimized geometry

abc: 4.755 4.755 7.091
angles: 90.00 90.00 90.00
Atoms (fractional coordinates):
La: 0.500 0.500 0.500
Ni: 0.752 0.752 0.172
Ni: 0.752 0.248 0.828
Ni: 0.752 0.752 0.828
Ni: 0.752 0.248 0.172
Ni: 0.248 0.752 0.172
Ni: 0.248 0.752 0.828
Ni: 0.248 0.248 0.172
Ni: 0.248 0.248 0.828
B: 0.500 0.000 0.000
B: 0.000 0.500 0.000


(10)
Compound: K2PtBr
Source: Alexandria via LeMat-Bulk
Functional: PBE
Structure: optimized geometry

Formation energy without anion corrections, eV per atom: -0.420
Relative energy among the computed polymorphs, meV/atom: 89

abc: 9.583 9.583 9.583
angles: 23.65 23.65 23.65
Atoms (fractional coordinates):
Br: 0.750 0.750 0.750
K: 0.004 0.004 0.004
K: 0.496 0.496 0.496
Pt: 0.250 0.250 0.250


(11)
Compound: Ba2In4Ge3Au
Source: Alexandria via LeMat-Bulk
Functional: PBE
Structure: optimized geometry

abc: 4.999 4.999 11.124
angles: 90.00 90.00 90.00
Atoms (fractional coordinates):
Ba: 0.500 0.000 0.262
Ba: 0.000 0.500 0.738
In: 0.500 0.500 0.000
In: 0.000 0.000 0.000
In: 0.500 0.000 0.620
In: 0.000 0.500 0.380
Ge: 0.000 0.000 0.500
Ge: 0.500 0.000 0.870
Ge: 0.000 0.500 0.130
Au: 0.500 0.500 0.500


(12)
Compound: SiAgSe2
Source: Alexandria via LeMat-Bulk
Functional: PBE
Structure: optimized geometry

Formation energy without anion corrections, eV per atom: 0.051

abc: 4.963 2.858 6.572
angles: 77.47 90.00 90.00
Atoms (fractional coordinates):
Ag: 0.500 0.964 0.951
Se: 0.000 0.040 0.796
Se: 0.500 0.272 0.330
Si: 0.000 0.224 0.424


| no. | total DFT energy (no corrections) (eV/atom) | Fermi-level density of states (states/eV/f.u.) |
| --- | --- | --- |
| 1 | -3.6487 | 0.00 |
| 2 | -4.5591 | 3.11 |
| 3 | -4.3842 | 0.71 |
| 4 | -6.4514 | 3.35 |
| 5 | -4.8976 | 11.13 |
| 6 | -8.8215 | 5.10 |
| 7 | -4.9813 | 8.73 |
| 8 | -3.8281 | 0.06 |
| 9 | -5.7652 | 17.98 |
| 10 | -2.8974 | 4.09 |
| 11 | -3.5541 | 2.30 |
| 12 | -3.7603 | 0.61 |